Entry 1:
The following is a DFT calculation (PBE-GGA) of crystalline Rb2BiAuF6 at its relaxed geometry.

Cell lengths 6.614, 6.614, 6.779 Å; angles 60.80, 60.80, 90.00 degrees
Sites, in units of the cell vectors:
F  0.770  0.770  0.460
F  0.758  0.242  0.000
F  0.758  0.758  0.000
F  0.242  0.242  0.000
F  0.242  0.758  0.000
F  0.230  0.230  0.540
Au  0.500  0.500  0.000
Rb  0.250  0.750  0.500
Rb  0.750  0.250  0.500
Bi  0.000  0.000  0.000

## Properties
Raw formation energy ... -2.1145 eV/atom
E_tot ... -4.15 eV/atom
SG ... I4/mmm (139)
Total magnetic moment ... 0.00 μB per cell

---

Entry 2:
The following is a DFT calculation (PBE-GGA) of crystalline BTeF2 at its relaxed geometry.

Cell lengths 4.274, 4.274, 4.274 Å; angles 60.00, 60.00, 60.00 degrees
Sites, in units of the cell vectors:
F  0.250  0.250  0.250
F  0.750  0.750  0.750
B  0.000  0.000  0.000
Te  0.500  0.500  0.500

## Properties
Energy relative to the lowest polymorph listed for this composition ... 118.4 kJ per mole of atoms
Raw formation energy ... 0.3578 eV/atom
E_tot ... -3.03 eV/atom
SG ... Fm-3m (225)
Total magnetic moment ... 0.00 μB per cell

---

Entry 3:
The following is a DFT calculation (PBE-GGA) of crystalline DySc4S4 at its relaxed geometry.

Cell lengths 3.713, 6.421, 8.234 Å; angles 74.49, 76.97, 73.20 degrees
Sites, in units of the cell vectors:
S  0.296  0.097  0.311
S  0.895  0.320  0.889
S  0.105  0.680  0.111
S  0.704  0.903  0.689
Sc  0.100  0.197  0.603
Sc  0.709  0.384  0.197
Sc  0.900  0.803  0.397
Sc  0.291  0.616  0.803
Dy  0.500  0.000  0.000

## Properties
Raw formation energy ... -1.6750 eV/atom
E_tot ... -6.83 eV/atom
SG ... C2/m (12)
Total magnetic moment ... 0.00 μB per cell

---

Entry 4:
The following is a DFT calculation (PBE-GGA) of crystalline BaLi2Zn at its relaxed geometry.

Cell lengths 5.493, 5.493, 5.493 Å; angles 60.00, 60.00, 60.00 degrees
Sites, in units of the cell vectors:
Li  0.250  0.250  0.250
Li  0.000  0.000  0.000
Zn  0.750  0.750  0.750
Ba  0.500  0.500  0.500

## Properties
E_tot ... -1.72 eV/atom
SG ... F-43m (216)
Total magnetic moment ... 0.00 μB per cell
Calculated formation energy ... 33 meV/atom

---

Entry 5:
The following is a DFT calculation (PBE-GGA) of crystalline Th2Al15Ni10 at its relaxed geometry.

Cell lengths 10.882, 10.882, 10.882 Å; angles 159.12, 118.10, 66.09 degrees
Sites, in units of the cell vectors:
Al  0.010  0.705  0.305
Al  0.600  0.295  0.305
Al  0.119  0.500  0.619
Al  0.881  0.500  0.381
Al  0.230  0.104  0.125
Al  0.990  0.295  0.695
Al  0.021  0.896  0.125
Al  0.500  0.500  0.000
Al  0.588  0.414  0.173
Al  0.759  0.586  0.173
Al  0.241  0.414  0.827
Al  0.770  0.896  0.875
Al  0.979  0.104  0.875
Al  0.400  0.705  0.695
Al  0.412  0.586  0.827
Ni  0.579  0.079  0.500
Ni  0.878  0.378  0.500
Ni  0.277  0.000  0.277
Ni  0.517  0.836  0.681
Ni  0.483  0.164  0.319
Ni  0.845  0.164  0.681
Ni  0.122  0.622  0.500
Ni  0.155  0.836  0.319
Ni  0.421  0.921  0.500
Ni  0.723  0.000  0.723
Th  0.272  0.272  0.000
Th  0.728  0.728  0.000

## Properties
E_tot ... -5.29 eV/atom
SG ... Immm (71)
Total magnetic moment ... 0.00 μB per cell
Calculated formation energy ... -521 meV/atom

---

Entry 6:
The following is a DFT calculation (PBE-GGA) of crystalline LuNpCoRu at its relaxed geometry.

Cell lengths 4.694, 4.694, 4.694 Å; angles 60.00, 60.00, 60.00 degrees
Each line ends with the local moment (μB).
Sites, in units of the cell vectors:
Lu  0.500  0.500  0.500  -0.14
Ru  0.250  0.250  0.250  0.39
Co  0.750  0.750  0.750  1.02
Np  0.000  0.000  0.000  -3.52

## Properties
E_tot ... -8.60 eV/atom
SG ... F-43m (216)
Total magnetic moment ... 2.49 μB per cell
Calculated formation energy ... -138 meV/atom

---

Entry 7:
The following is a DFT calculation (PBE-GGA) of crystalline Nd5TmCd3 at its relaxed geometry.

Cell lengths 7.021, 9.447, 9.447 Å; angles 120.00, 90.00, 90.00 degrees
Sites, in units of the cell vectors:
Tm  0.500  0.000  0.000
Tm  0.000  0.000  0.000
Nd  0.500  0.333  0.667
Nd  0.500  0.667  0.333
Nd  0.250  0.666  0.000
Nd  0.250  0.334  0.334
Nd  0.750  0.334  0.000
Nd  0.750  0.666  0.666
Nd  0.250  0.000  0.666
Nd  0.000  0.333  0.667
Nd  0.750  0.000  0.334
Nd  0.000  0.667  0.333
Cd  0.750  0.328  0.328
Cd  0.750  0.672  0.000
Cd  0.250  0.672  0.672
Cd  0.250  0.328  0.000
Cd  0.750  0.000  0.672
Cd  0.250  0.000  0.328

## Properties
E_tot ... -3.63 eV/atom
SG ... P6_3/mcm (193)
Total magnetic moment ... 0.00 μB per cell
Calculated formation energy ... -178 meV/atom

---

Entry 8:
The following is a DFT calculation (PBE-GGA) of crystalline Co2RuPt at its relaxed geometry.

Cell lengths 2.674, 2.674, 7.242 Å; angles 90.00, 90.00, 90.00 degrees
Each line ends with the local moment (μB).
Sites, in units of the cell vectors:
Co  0.000  0.000  0.011  1.48
Co  0.500  0.500  0.230  1.76
Pt  0.000  0.000  0.490  0.11
Ru  0.500  0.500  0.769  -0.05

## Properties
Energy relative to the lowest polymorph listed for this composition ... 0.8 kJ per mole of atoms
E_tot ... -7.31 eV/atom
SG ... P4mm (99)
Total magnetic moment ... 3.26 μB per cell
Calculated formation energy ... 74 meV/atom

---

Entry 9:
The following is a DFT calculation (PBE-GGA) of crystalline Nd3ZnRu at its relaxed geometry.

Cell lengths 5.977, 5.977, 8.620 Å; angles 102.13, 102.12, 113.21 degrees
Sites, in units of the cell vectors:
Nd  0.696  0.196  0.891
Nd  0.293  0.418  0.711
Nd  0.918  0.793  0.711
Nd  0.304  0.804  0.109
Nd  0.707  0.582  0.289
Nd  0.082  0.207  0.289
Ru  0.750  0.750  0.000
Ru  0.250  0.250  0.000
Zn  0.308  0.808  0.500
Zn  0.692  0.192  0.500

## Properties
Energy relative to the lowest polymorph listed for this composition ... 0.0 kJ per mole of atoms
E_tot ... -5.21 eV/atom
SG ... Fmmm (69)
Total magnetic moment ... 0.00 μB per cell
Calculated formation energy ... -237 meV/atom

---

Entry 10:
The following is a DFT calculation (PBE-GGA) of crystalline TbNd2YSe4 at its relaxed geometry.

Cell lengths 4.098, 7.334, 7.159 Å; angles 71.28, 90.00, 90.00 degrees
Sites, in units of the cell vectors:
Se  0.000  0.737  0.754
Se  0.000  0.263  0.246
Se  0.500  0.263  0.745
Se  0.500  0.737  0.255
Nd  0.500  0.000  0.500
Nd  0.000  0.000  0.000
Tb  0.500  0.500  0.000
Y  0.000  0.500  0.500

## Properties
Raw formation energy ... -1.8065 eV/atom
E_tot ... -6.13 eV/atom
SG ... P2/m (10)
Total magnetic moment ... 0.00 μB per cell

---

Entry 11:
The following is a DFT calculation (PBE-GGA) of crystalline Na6TlIn at its relaxed geometry.

Cell lengths 4.958, 4.958, 9.936 Å; angles 90.00, 90.00, 90.00 degrees
Sites, in units of the cell vectors:
Na  0.500  0.000  0.253
Na  0.500  0.000  0.747
Na  0.500  0.500  0.500
Na  0.000  0.500  0.253
Na  0.000  0.500  0.747
Na  0.500  0.500  0.000
In  0.000  0.000  0.500
Tl  0.000  0.000  0.000

## Properties
Energy relative to the lowest polymorph listed for this composition ... 0.0 kJ per mole of atoms
E_tot ... -1.68 eV/atom
SG ... P4/mmm (123)
Total magnetic moment ... 0.00 μB per cell
Calculated formation energy ... -55 meV/atom

---

Entry 12:
The following is a DFT calculation (PBE-GGA) of crystalline ZrMn2VBr at its relaxed geometry.

Cell lengths 5.029, 4.988, 5.029 Å; angles 90.00, 90.00, 90.00 degrees
Each line ends with the local moment (μB).
Sites, in units of the cell vectors:
Mn  0.500  0.000  0.000  3.84
Mn  0.000  0.000  0.500  3.45
Br  0.500  0.500  0.500  0.06
V  0.000  0.500  0.000  2.21
Zr  0.000  0.000  0.000  -0.58

## Properties
Raw formation energy ... 1.4746 eV/atom
E_tot ... -6.06 eV/atom
SG ... P4/mmm (123)
Total magnetic moment ... 9.76 μB per cell

---

Entry 13:
The following is a DFT calculation (PBE-GGA) of crystalline LiGaSe at its relaxed geometry.

Cell lengths 3.966, 14.311, 4.683 Å; angles 90.00, 90.00, 90.00 degrees
Sites, in units of the cell vectors:
Se  0.000  0.653  0.250
Se  0.000  0.347  0.750
Se  0.500  0.153  0.250
Se  0.500  0.847  0.750
Ga  0.000  0.033  0.250
Ga  0.500  0.533  0.250
Ga  0.500  0.467  0.750
Ga  0.000  0.967  0.750
Li  0.000  0.277  0.250
Li  0.500  0.777  0.250
Li  0.500  0.223  0.750
Li  0.000  0.723  0.750

## Properties
Energy relative to the lowest polymorph listed for this composition ... 0.0 kJ per mole of atoms
Raw formation energy ... -0.7727 eV/atom
E_tot ... -3.58 eV/atom
SG ... Cmcm (63)
Total magnetic moment ... 0.00 μB per cell

---

Entry 14:
The following is a DFT calculation (PBE-GGA) of crystalline LiTc2Hg at its relaxed geometry.

Cell lengths 4.976, 2.921, 4.475 Å; angles 91.55, 90.00, 90.00 degrees
Sites, in units of the cell vectors:
Tc  0.000  0.052  0.977
Tc  0.000  0.448  0.523
Li  0.500  0.750  0.750
Hg  0.500  0.250  0.250

## Properties
E_tot ... -5.36 eV/atom
SG ... P2/m (10)
Total magnetic moment ... 0.00 μB per cell
Calculated formation energy ... 382 meV/atom

---

Entry 15:
The following is a DFT calculation (PBE-GGA) of crystalline DyTmHg at its relaxed geometry.

Cell lengths 3.583, 3.583, 6.886 Å; angles 105.08, 105.08, 90.00 degrees
Each line ends with the local moment (μB).
Sites, in units of the cell vectors:
Tm  0.320  0.320  0.639  0.40
Hg  0.669  0.669  0.339  0.02
Dy  0.011  0.011  0.022  0.41

## Properties
Energy relative to the lowest polymorph listed for this composition ... 6.3 kJ per mole of atoms
E_tot ... -3.42 eV/atom
SG ... I4mm (107)
Total magnetic moment ... 1.11 μB per cell
Calculated formation energy ... -300 meV/atom

---

Entry 16:
The following is a DFT calculation (PBE-GGA) of crystalline Hg2BRuC at its relaxed geometry.

Cell lengths 5.306, 3.772, 5.306 Å; angles 90.00, 90.00, 90.00 degrees
Sites, in units of the cell vectors:
Hg  0.500  0.000  0.000
Hg  0.000  0.000  0.500
Ru  0.000  0.000  0.000
B  0.500  0.500  0.500
C  0.000  0.500  0.000

## Properties
E_tot ... -3.55 eV/atom
SG ... P4/mmm (123)
Total magnetic moment ... 0.00 μB per cell
Calculated formation energy ... 1607 meV/atom

---

Entry 17:
The following is a DFT calculation (PBE-GGA) of crystalline Ga4Cu7Au at its relaxed geometry.

Cell lengths 4.772, 8.293, 5.338 Å; angles 81.14, 63.45, 73.28 degrees
Sites, in units of the cell vectors:
Ga  0.244  0.329  0.182
Ga  0.605  0.226  0.564
Ga  0.756  0.671  0.818
Ga  0.395  0.774  0.436
Cu  0.783  0.919  0.516
Cu  0.362  0.514  0.763
Cu  0.217  0.081  0.484
Cu  0.500  0.000  0.000
Cu  0.058  0.659  0.224
Cu  0.638  0.486  0.237
Cu  0.942  0.341  0.776
Au  0.000  0.000  0.000

## Properties
E_tot ... -3.59 eV/atom
SG ... C2/m (12)
Total magnetic moment ... 0.00 μB per cell
Calculated formation energy ... 78 meV/atom

---

Entry 18:
The following is a DFT calculation (PBE-GGA) of crystalline NaTmTl2 at its relaxed geometry.

Cell lengths 3.614, 3.614, 10.382 Å; angles 79.98, 79.98, 60.00 degrees
Sites, in units of the cell vectors:
Na  0.500  0.500  0.500
Tm  0.667  0.667  0.000
Tl  0.083  0.083  0.752
Tl  0.251  0.251  0.247

## Properties
Energy relative to the lowest polymorph listed for this composition ... 11.7 kJ per mole of atoms
E_tot ... -2.73 eV/atom
SG ... R3m (160)
Total magnetic moment ... 0.00 μB per cell
Calculated formation energy ... -104 meV/atom

---

Entry 19:
The following is a DFT calculation (PBE-GGA) of crystalline CaTa3 at its relaxed geometry.

Cell lengths 6.098, 6.098, 4.848 Å; angles 90.00, 90.00, 108.57 degrees
Sites, in units of the cell vectors:
Ta  0.815  0.185  0.250
Ta  0.185  0.815  0.750
Ta  0.724  0.914  0.750
Ta  0.914  0.724  0.250
Ta  0.086  0.276  0.750
Ta  0.276  0.086  0.250
Ca  0.613  0.387  0.750
Ca  0.387  0.613  0.250

## Properties
E_tot ... -8.82 eV/atom
SG ... Cmcm (63)
Total magnetic moment ... 0.00 μB per cell
Calculated formation energy ... 567 meV/atom

---

Entry 20:
The following is a DFT calculation (PBE-GGA) of crystalline Ba2BeSi at its relaxed geometry.

Cell lengths 5.967, 5.967, 10.460 Å; angles 73.43, 73.43, 90.00 degrees
Sites, in units of the cell vectors:
Ba  0.875  0.874  0.750
Ba  0.126  0.625  0.250
Ba  0.624  0.125  0.250
Ba  0.375  0.376  0.750
Si  0.000  0.000  0.000
Si  0.750  0.250  0.500
Be  0.250  0.750  0.500
Be  0.500  0.500  0.000

## Properties
Energy relative to the lowest polymorph listed for this composition ... 88.9 kJ per mole of atoms
Raw formation energy ... 0.7672 eV/atom
E_tot ... -2.48 eV/atom
SG ... I-42d (122)
Total magnetic moment ... 0.27 μB per cell

---

Entry 21:
The following is a DFT calculation (PBE-GGA) of crystalline TbBi2Pb at its relaxed geometry.

Cell lengths 4.466, 4.466, 8.329 Å; angles 74.45, 74.45, 60.00 degrees
Sites, in units of the cell vectors:
Bi  0.255  0.255  0.236
Bi  0.745  0.745  0.764
Tb  0.000  0.000  0.000
Pb  0.500  0.500  0.500

## Properties
Energy relative to the lowest polymorph listed for this composition ... 7.6 kJ per mole of atoms
E_tot ... -4.31 eV/atom
SG ... R-3m (166)
Total magnetic moment ... 0.00 μB per cell
Calculated formation energy ... -288 meV/atom

---

Entry 22:
The following is a DFT calculation (PBE-GGA) of crystalline TiBe2V at its relaxed geometry.

Cell lengths 6.560, 6.560, 5.155 Å; angles 50.49, 50.49, 90.00 degrees
Sites, in units of the cell vectors:
Ti  0.500  0.500  0.000
Ti  0.250  0.750  0.500
Be  0.114  0.625  0.250
Be  0.875  0.886  0.750
Be  0.375  0.364  0.750
Be  0.636  0.125  0.250
V  0.000  0.000  0.000
V  0.750  0.250  0.500

## Properties
Energy relative to the lowest polymorph listed for this composition ... 36.6 kJ per mole of atoms
E_tot ... -5.79 eV/atom
SG ... I-42d (122)
Total magnetic moment ... 0.00 μB per cell
Calculated formation energy ... 323 meV/atom

---

Entry 23:
The following is a DFT calculation (PBE-GGA) of crystalline MnFe2Sb at its relaxed geometry.

Cell lengths 4.270, 4.270, 4.270 Å; angles 60.00, 60.00, 60.00 degrees
Each line ends with the local moment (μB).
Sites, in units of the cell vectors:
Fe  0.250  0.250  0.250  2.58
Fe  0.000  0.000  0.000  2.00
Sb  0.750  0.750  0.750  -0.05
Mn  0.500  0.500  0.500  2.38

## Properties
Raw formation energy ... 0.1389 eV/atom
E_tot ... -7.42 eV/atom
SG ... F-43m (216)
Total magnetic moment ... 6.90 μB per cell

---

Entry 24:
The following is a DFT calculation (PBE-GGA) of crystalline Co2AuIN at its relaxed geometry.

Cell lengths 4.804, 5.384, 4.804 Å; angles 90.00, 90.00, 90.00 degrees
Each line ends with the local moment (μB).
Sites, in units of the cell vectors:
Au  0.000  0.000  0.000  0.07
Co  0.500  0.000  0.000  1.69
Co  0.000  0.000  0.500  2.53
I  0.000  0.500  0.000  -0.01
N  0.500  0.500  0.500  0.03

## Properties
Raw formation energy ... 2.3976 eV/atom
E_tot ... -3.08 eV/atom
SG ... P4/mmm (123)
Total magnetic moment ... 4.37 μB per cell

---

Entry 25:
The following is a DFT calculation (PBE-GGA) of crystalline Cd2Rh at its relaxed geometry.

Cell lengths 3.234, 7.392, 4.644 Å; angles 90.00, 90.00, 77.37 degrees
Sites, in units of the cell vectors:
Rh  0.674  0.652  0.000
Rh  0.882  0.236  0.500
Cd  0.339  0.322  0.000
Cd  0.545  0.911  0.500
Cd  0.217  0.567  0.500
Cd  0.011  0.978  0.000

## Properties
E_tot ... -3.16 eV/atom
SG ... Cmcm (63)
Total magnetic moment ... 0.00 μB per cell
Calculated formation energy ... -99 meV/atom